Record 1
VASP calculation (PBE-GGA) on a relaxed Y4MgCd2Ag crystal.

Summary:
uncorrected energy = -4.31 eV per atom
energy relative to the elements = -2.3 eV/f.u.

```
data_Y4MgCd2Ag
_chemical_formula_sum 'Y12 Mg3 Cd6 Ag3'
_symmetry_space_group_name_H-M 'R -3 m'
_symmetry_Int_Tables_number 166
_symmetry_space_group_name_Hall '-R 3 2"'
_cell_length_a 5.2805
_cell_length_b 5.2805
_cell_length_c 25.8439
_cell_angle_alpha 90.00
_cell_angle_beta 90.00
_cell_angle_gamma 120.00
loop_
_atom_site_label
_atom_site_type_symbol
_atom_site_fract_x
_atom_site_fract_y
_atom_site_fract_z
Y1 Y 0.0000 0.0000 0.1208
Y2 Y 0.0000 0.0000 0.3720
Mg1 Mg 0.0000 0.0000 0.5000
Cd1 Cd 0.0000 0.0000 0.2440
Ag1 Ag 0.0000 0.0000 0.0000
```

---

Record 2
VASP calculation (PBE-GGA) on a relaxed ZrHgB3 crystal.

Summary:
uncorrected energy = -3.98 eV per atom
energy relative to the elements = 9.0 eV/f.u.

```
data_ZrHgB3
_chemical_formula_sum 'Zr1 Hg1 B3'
_symmetry_space_group_name_H-M 'P m -3 m'
_symmetry_Int_Tables_number 221
_symmetry_space_group_name_Hall '-P 4 2 3'
_cell_length_a 4.527
_cell_length_b 4.527
_cell_length_c 4.527
_cell_angle_alpha 90.00
_cell_angle_beta 90.00
_cell_angle_gamma 90.00
loop_
_atom_site_label
_atom_site_type_symbol
_atom_site_fract_x
_atom_site_fract_y
_atom_site_fract_z
Zr1 Zr 0.000 0.000 0.000
Hg1 Hg 0.500 0.500 0.500
B1 B 0.000 0.000 0.500
```